## U2GeRh (PBE-GGA)

Data for a relaxed structure of U2GeRh.

The structure belongs to space group P2/m (No. 10); the cell edges are 2.9034, 5.0406 and 5.0395 Å and the angles 90.00°, 90.20° and 90.00°. The inequivalent atoms are U at (0.2328, 0.0000, 0.2572), Ge at (0.0000, 0.5000, 0.5000) and Rh at (0.5000, 0.5000, 0.0000).

Its calculated density is 14.7 g cm⁻³. The density of states at the Fermi level is 6.89 states/eV per cell. The final energy is -8.768 eV per atom.

## UGeRh3 (PBE-GGA)

Data for a relaxed structure of UGeRh3.

The structure belongs to space group C2/m (No. 12); the cell edges are 13.6613, 4.6083 and 5.5360 Å and the angles 90.00°, 107.72° and 90.00°. The inequivalent atoms are U at (0.0880, 0.0000, 0.3770), Ge at (0.1738, 0.5000, 0.1247), Rh at (0.0078, 0.5000, 0.7550), Rh at (0.1464, 0.0000, 0.9128) and Rh at (0.1975, 0.5000, 0.6071).

Its calculated density is 12.4 g cm⁻³. The density of states at the Fermi level is 23.39 states/eV per cell. The final energy is -8.062 eV per atom.

## UGeRh5 (PBE-GGA)

Data for a relaxed structure of UGeRh5.

The structure belongs to space group C2/c (No. 15); the cell edges are 8.1578, 9.4688 and 6.9693 Å and the angles 90.00°, 121.55° and 90.00°. The inequivalent atoms are U at (0.0000, 0.1834, 0.2500), Ge at (0.2500, 0.2500, 0.0000), Rh at (0.0000, 0.0696, 0.7500), Rh at (0.0748, 0.3469, 0.6100) and Rh at (0.2120, 0.4133, 0.3418).

Its calculated density is 11.9 g cm⁻³. The density of states at the Fermi level is 23.14 states/eV per cell. The final energy is -7.890 eV per atom.

## UGe3Rh3 (PBE-GGA)

Data for a relaxed structure of UGe3Rh3.

The structure belongs to space group Pm-3n (No. 223); the cell edges are 6.6838, 6.6838 and 6.6838 Å and the angles 90.00°, 90.00° and 90.00°. The inequivalent atoms are U at (0.0000, 0.0000, 0.0000), Ge at (0.0000, 0.2500, 0.5000) and Rh at (0.0000, 0.5000, 0.2500).

Its calculated density is 8.5 g cm⁻³. The density of states at the Fermi level is 18.04 states/eV per cell. The final energy is -6.736 eV per atom.

## U2GeRh8 (PBE-GGA)

Data for a relaxed structure of U2GeRh8.

The structure belongs to space group Immm (No. 71); the cell edges are 4.4755, 5.8888 and 13.5970 Å and the angles 90.00°, 90.00° and 90.00°. The inequivalent atoms are U at (0.0000, 0.0000, 0.1776), Ge at (0.0000, 0.0000, 0.5000), Rh at (0.0000, 0.2478, 0.0000), Rh at (0.0000, 0.2622, 0.3618) and Rh at (0.0000, 0.5000, 0.1859).

Its calculated density is 12.7 g cm⁻³. The density of states at the Fermi level is 21.47 states/eV per cell. The final energy is -8.306 eV per atom.

## U2ZnGe3Rh4 (PBE-GGA)

Data for a relaxed structure of U2ZnGe3Rh4.

The structure belongs to space group P-4m2 (No. 115); the cell edges are 4.0229, 4.0229 and 10.9505 Å and the angles 90.00°, 90.00° and 90.00°. The inequivalent atoms are U at (0.0000, 0.5000, 0.2446), Zn at (0.5000, 0.5000, 0.0000), Ge at (0.0000, 0.0000, 0.0000), Ge at (0.0000, 0.5000, 0.6277), Rh at (0.0000, 0.0000, 0.5000), Rh at (0.0000, 0.5000, 0.8485) and Rh at (0.5000, 0.5000, 0.5000).

Its calculated density is 11.0 g cm⁻³. The density of states at the Fermi level is 16.99 states/eV per cell. The final energy is -7.220 eV per atom.

## U2ZnGe4Rh3 (PBE-GGA)

Data for a relaxed structure of U2ZnGe4Rh3.

The structure belongs to space group P-4m2 (No. 115); the cell edges are 4.1631, 4.1631 and 10.3560 Å and the angles 90.00°, 90.00° and 90.00°. The inequivalent atoms are U at (0.0000, 0.5000, 0.2452), Zn at (0.0000, 0.0000, 0.5000), Ge at (0.0000, 0.0000, 0.0000), Ge at (0.0000, 0.5000, 0.6389), Ge at (0.5000, 0.5000, 0.0000), Rh at (0.0000, 0.5000, 0.8710) and Rh at (0.5000, 0.5000, 0.5000).

Its calculated density is 10.6 g cm⁻³. The density of states at the Fermi level is 17.62 states/eV per cell. The final energy is -6.863 eV per atom.

## V5Ge5Rh (PBE-GGA)

Data for a relaxed structure of V5Ge5Rh.

The structure belongs to space group C2/m (No. 12); the cell edges are 9.4990, 4.9107 and 8.1078 Å and the angles 90.00°, 114.45° and 90.00°. The inequivalent atoms are V at (0.0000, 0.0000, 0.0000), V at (0.1053, 0.5000, 0.2172), V at (0.1812, 0.5000, 0.8642), Ge at (0.0000, 0.5000, 0.5000), Ge at (0.1456, 0.0000, 0.8173), Ge at (0.1918, 0.0000, 0.3604) and Rh at (0.0000, 0.0000, 0.5000).

Its calculated density is 7.0 g cm⁻³. The density of states at the Fermi level is 16.50 states/eV per cell. The final energy is -6.777 eV per atom.